# 1
DFT (GGA-PBE) results for a relaxed structure of Pr8Ge3PdBr4.

## Properties
**DOS at the Fermi energy**: 10.4 states/eV/f.u.
**Raw formation energy**: -1.09 eV per atom

Unit cell a=8.8183 b=8.8183 c=8.8183 alpha=59.01 beta=59.01 gamma=59.01
Element x y z (fractional)
Pr: 0.2396 0.2396 0.2396
Pr: 0.2398 0.7385 0.7385
Pr: 0.2615 0.2615 0.7602
Pr: 0.2615 0.7602 0.2615
Pr: 0.7385 0.2398 0.7385
Pr: 0.7385 0.7385 0.2398
Pr: 0.7602 0.2615 0.2615
Pr: 0.7604 0.7604 0.7604
Ge: 0.0000 0.0000 0.5000
Ge: 0.0000 0.5000 0.0000
Ge: 0.5000 0.0000 0.0000
Pd: 0.5000 0.5000 0.5000
Br: 0.0000 0.0000 0.0000
Br: 0.0000 0.5000 0.5000
Br: 0.5000 0.0000 0.5000
Br: 0.5000 0.5000 0.0000

# 2
DFT (GGA-PBE) results for a relaxed structure of Li2Ta2MoN6.

## Properties
**Raw formation energy**: -0.66 eV per atom

Unit cell a=5.3134 b=5.3134 c=5.4263 alpha=98.92 beta=98.92 gamma=119.93
Element x y z (fractional)
Li: 0.1648 0.8352 0.0000
Li: 0.8352 0.1648 0.0000
Ta: 0.3336 0.6664 0.5000
Ta: 0.6664 0.3336 0.5000
Mo: 0.0000 0.0000 0.5000
N: 0.0619 0.3964 0.7131
N: 0.2549 0.2549 0.2898
N: 0.3964 0.0619 0.7131
N: 0.6036 0.9381 0.2869
N: 0.7451 0.7451 0.7102
N: 0.9381 0.6036 0.2869

# 3
DFT (GGA-PBE) results for a relaxed structure of Cs2CdPt.

## Properties
**DOS at the Fermi energy**: 1.5 states/eV/f.u.
**Energy above the most stable polymorph in this dataset**: 0.000 eV per atom
**Energy of formation**: -0.6 eV per formula unit

Unit cell a=8.3560 b=4.8213 c=10.1982 alpha=90.00 beta=104.93 gamma=90.00
Element x y z (fractional)
Cs: 0.0000 0.0000 0.0000
Cs: 0.1553 0.0000 0.4933
Cs: 0.5000 0.5000 0.0000
Cs: 0.6553 0.5000 0.4933
Cd: 0.2443 0.5000 0.2466
Cd: 0.7443 0.0000 0.2466
Pt: 0.4110 0.0000 0.2465
Pt: 0.9110 0.5000 0.2465

# 4
DFT (GGA-PBE) results for a relaxed structure of Cs3AgH2Br6.

## Properties
**DOS at the Fermi energy**: 0.0 states/eV/f.u.
**Uncorrected energy**: -2.7394 eV/atom

Unit cell a=7.4969 b=7.4969 c=9.1908 alpha=90.00 beta=90.00 gamma=120.00
Element x y z (fractional)
Cs: 0.0000 0.0000 0.0000
Cs: 0.3333 0.6667 0.6498
Cs: 0.6667 0.3333 0.3502
Ag: 0.0000 0.0000 0.5000
H: 0.3333 0.6667 0.2979
H: 0.6667 0.3333 0.7021
Br: 0.1792 0.3584 0.3013
Br: 0.1792 0.8208 0.3013
Br: 0.3584 0.1792 0.6987
Br: 0.6416 0.8208 0.3013
Br: 0.8208 0.1792 0.6987
Br: 0.8208 0.6416 0.6987

# 5
DFT (GGA-PBE) results for a relaxed structure of Tc2PAu.

## Properties
**DOS at the Fermi energy**: 5.0 states/eV/f.u.
**Energy of formation**: 2.2 eV per formula unit

Unit cell a=6.2621 b=6.2621 c=6.2621 alpha=90.00 beta=90.00 gamma=90.00
Element x y z (fractional)
Tc: 0.0000 0.0000 0.0000
Tc: 0.0000 0.5000 0.5000
Tc: 0.2500 0.2500 0.2500
Tc: 0.2500 0.7500 0.7500
Tc: 0.5000 0.0000 0.5000
Tc: 0.5000 0.5000 0.0000
Tc: 0.7500 0.2500 0.7500
Tc: 0.7500 0.7500 0.2500
P: 0.0000 0.0000 0.5000
P: 0.0000 0.5000 0.0000
P: 0.5000 0.0000 0.0000
P: 0.5000 0.5000 0.5000
Au: 0.2500 0.2500 0.7500
Au: 0.2500 0.7500 0.2500
Au: 0.7500 0.2500 0.2500
Au: 0.7500 0.7500 0.7500

# 6
DFT (GGA-PBE) results for a relaxed structure of La2ZrBr.

## Properties
**DOS at the Fermi energy**: 6.4 states/eV/f.u.
**Raw formation energy**: -0.03 eV per atom
**Energy above the most stable polymorph in this dataset**: 0.437 eV per atom

Unit cell a=4.5927 b=4.5927 c=10.8598 alpha=90.00 beta=90.00 gamma=90.00
Element x y z (fractional)
La: 0.0000 0.0000 0.0000
La: 0.0000 0.5000 0.2500
La: 0.5000 0.0000 0.7500
La: 0.5000 0.5000 0.5000
Zr: 0.0000 0.5000 0.7500
Zr: 0.5000 0.0000 0.2500
Br: 0.0000 0.0000 0.5000
Br: 0.5000 0.5000 0.0000

# 7
DFT (GGA-PBE) results for a relaxed structure of LiSb2P.

## Properties
**DOS at the Fermi energy**: 1.3 states/eV/f.u.
**Raw formation energy**: 0.19 eV per atom

Unit cell a=7.1000 b=7.1000 c=7.1000 alpha=90.00 beta=90.00 gamma=90.00
Element x y z (fractional)
Li: 0.0000 0.0000 0.0000
Li: 0.0000 0.5000 0.5000
Li: 0.5000 0.0000 0.5000
Li: 0.5000 0.5000 0.0000
Sb: 0.0000 0.0000 0.5000
Sb: 0.0000 0.5000 0.0000
Sb: 0.2500 0.2500 0.7500
Sb: 0.2500 0.7500 0.2500
Sb: 0.5000 0.0000 0.0000
Sb: 0.5000 0.5000 0.5000
Sb: 0.7500 0.2500 0.2500
Sb: 0.7500 0.7500 0.7500
P: 0.2500 0.2500 0.2500
P: 0.2500 0.7500 0.7500
P: 0.7500 0.2500 0.7500
P: 0.7500 0.7500 0.2500

# 8
DFT (GGA-PBE) results for a relaxed structure of Ba3SrIr2O9.

## Properties
**DOS at the Fermi energy**: 10.1 states/eV/f.u.
**Raw formation energy**: -1.90 eV per atom
**Energy above the most stable polymorph in this dataset**: 0.000 eV per atom

Unit cell a=6.0502 b=6.0502 c=15.0625 alpha=91.59 beta=91.59 gamma=119.37
Element x y z (fractional)
Ba: 0.0117 0.9883 0.7500
Ba: 0.3256 0.6590 0.4100
Ba: 0.3410 0.6744 0.0900
Ba: 0.6590 0.3256 0.9100
Ba: 0.6744 0.3410 0.5900
Ba: 0.9883 0.0117 0.2500
Sr: 0.0000 0.0000 0.0000
Sr: 0.0000 0.0000 0.5000
Ir: 0.3117 0.6395 0.8342
Ir: 0.3605 0.6883 0.6658
Ir: 0.6395 0.3117 0.3342
Ir: 0.6883 0.3605 0.1658
O: 0.0346 0.5107 0.7336
O: 0.1330 0.7710 0.9050
O: 0.1370 0.3183 0.8925
O: 0.2290 0.8670 0.5950
O: 0.2322 0.4158 0.5743
O: 0.3183 0.1370 0.3925
O: 0.4158 0.2322 0.0743
O: 0.4893 0.9654 0.7664
O: 0.4908 0.5092 0.7500
O: 0.5092 0.4908 0.2500
O: 0.5107 0.0346 0.2336
O: 0.5842 0.7678 0.9257
O: 0.6817 0.8630 0.6075
O: 0.7678 0.5842 0.4257
O: 0.7710 0.1330 0.4050
O: 0.8630 0.6817 0.1075
O: 0.8670 0.2290 0.0950
O: 0.9654 0.4893 0.2664

# 9
DFT (GGA-PBE) results for a relaxed structure of MgBeFe2.

## Properties
**DOS at the Fermi energy**: 1.5 states/eV/f.u.
**Energy above the most stable polymorph in this dataset**: 0.239 eV per atom
**Energy of formation**: 1.2 eV per formula unit

Unit cell a=2.6133 b=2.6133 c=25.4645 alpha=90.00 beta=90.00 gamma=120.00
Element x y z (fractional)
Mg: 0.0000 0.0000 0.0000
Mg: 0.3333 0.6667 0.6667
Mg: 0.6667 0.3333 0.3333
Be: 0.0000 0.0000 0.2431
Be: 0.3333 0.6667 0.9098
Be: 0.6667 0.3333 0.5764
Fe: 0.0000 0.0000 0.5066
Fe: 0.0000 0.0000 0.7568
Fe: 0.3333 0.6667 0.1733
Fe: 0.3333 0.6667 0.4235
Fe: 0.6667 0.3333 0.0902
Fe: 0.6667 0.3333 0.8400

# 10
DFT (GGA-PBE) results for a relaxed structure of Sm6TeAs3S2.

## Properties
**DOS at the Fermi energy**: 4.3 states/eV/f.u.
**Raw formation energy**: -1.69 eV per atom

Unit cell a=9.3746 b=9.3746 c=8.4104 alpha=102.97 beta=102.97 gamma=25.82
Element x y z (fractional)
Sm: 0.0024 0.0024 0.2702
Sm: 0.3252 0.3252 0.9119
Sm: 0.3324 0.3324 0.4164
Sm: 0.6676 0.6676 0.5836
Sm: 0.6748 0.6748 0.0881
Sm: 0.9976 0.9976 0.7298
Te: 0.5000 0.5000 0.0000
As: 0.1636 0.1636 0.8317
As: 0.5000 0.5000 0.5000
As: 0.8364 0.8364 0.1683
S: 0.1686 0.1686 0.3351
S: 0.8314 0.8314 0.6649

# 11
DFT (GGA-PBE) results for a relaxed structure of Hf11Zn9Rh4.

## Properties
**DOS at the Fermi energy**: 14.9 states/eV/f.u.
**Energy of formation**: -10.2 eV per formula unit

Unit cell a=11.9873 b=11.9873 c=3.2851 alpha=90.00 beta=90.00 gamma=112.96
Element x y z (fractional)
Hf: 0.0000 0.0000 0.0000
Hf: 0.0639 0.4092 0.0000
Hf: 0.1621 0.8379 0.0000
Hf: 0.2941 0.2941 0.0000
Hf: 0.3635 0.6365 0.0000
Hf: 0.4092 0.0639 0.0000
Hf: 0.5908 0.9361 0.0000
Hf: 0.6365 0.3635 0.0000
Hf: 0.7059 0.7059 0.0000
Hf: 0.8379 0.1621 0.0000
Hf: 0.9361 0.5908 0.0000
Zn: 0.0659 0.2099 0.5000
Zn: 0.1558 0.6343 0.5000
Zn: 0.2099 0.0659 0.5000
Zn: 0.3657 0.8442 0.5000
Zn: 0.5000 0.5000 0.5000
Zn: 0.6343 0.1558 0.5000
Zn: 0.7901 0.9341 0.5000
Zn: 0.8442 0.3657 0.5000
Zn: 0.9341 0.7901 0.5000
Rh: 0.2451 0.4476 0.5000
Rh: 0.4476 0.2451 0.5000
Rh: 0.5524 0.7549 0.5000
Rh: 0.7549 0.5524 0.5000

# 12
DFT (GGA-PBE) results for a relaxed structure of RbTl2HgPd2.

## Properties
**DOS at the Fermi energy**: 2.5 states/eV/f.u.
**Energy of formation**: -0.4 eV per formula unit

Unit cell a=5.2347 b=5.2347 c=6.5700 alpha=90.00 beta=90.00 gamma=90.00
Element x y z (fractional)
Rb: 0.0000 0.0000 0.0000
Tl: 0.5000 0.5000 0.2662
Tl: 0.5000 0.5000 0.7338
Hg: 0.0000 0.0000 0.5000
Pd: 0.0000 0.5000 0.5000
Pd: 0.5000 0.0000 0.5000

# 13
DFT (GGA-PBE) results for a relaxed structure of LiAcZn3.

## Properties
**DOS at the Fermi energy**: 3.1 states/eV/f.u.
**Energy above the most stable polymorph in this dataset**: 0.015 eV per atom
**Energy of formation**: -1.0 eV per formula unit

Unit cell a=4.6787 b=4.6787 c=9.8434 alpha=90.00 beta=90.00 gamma=90.00
Element x y z (fractional)
Li: 0.0000 0.0000 0.0000
Li: 0.5000 0.5000 0.5000
Ac: 0.0000 0.0000 0.3720
Ac: 0.5000 0.5000 0.8720
Zn: 0.0000 0.0000 0.7393
Zn: 0.0000 0.5000 0.1273
Zn: 0.0000 0.5000 0.6273
Zn: 0.5000 0.0000 0.1273
Zn: 0.5000 0.0000 0.6273
Zn: 0.5000 0.5000 0.2393

So what do the calculations give for V? Going down the list: 474.0, 126.2, 198.5, 447.3, 61.4, 114.5, 89.5, 239.9, 50.2, 313.3, 434.7, 180.0, 107.7 Å³/f.u..